No. 1
RbTe2CN: relaxed, PBE.

It has space group P4/mmm (No. 123), with a = 6.962 Å, b = 6.962 Å, c = 5.485 Å, α = 90.00°, β = 90.00° and γ = 90.00°. The distinct sites, in fractional coordinates, are Rb at (0.000, 0.000, 0.000), Te at (0.000, 0.500, 0.000), C at (0.500, 0.500, 0.500) and N at (0.000, 0.000, 0.500).

The uncorrected formation energy comes out at 272.33 kJ/mol of atoms. The calculation puts the density of states at the Fermi level at 7.3 states/eV/cell.

No. 2
Mn3NiTe: relaxed, PBE.

It has space group Pm-3m (No. 221), with a = 4.559 Å, b = 4.559 Å, c = 4.559 Å, α = 90.00°, β = 90.00° and γ = 90.00°. The distinct sites, in fractional coordinates, are Mn at (0.000, 0.000, 0.500), Ni at (0.000, 0.000, 0.000) and Te at (0.500, 0.500, 0.500).

The uncorrected formation energy comes out at 49.65 kJ/mol of atoms. The calculation puts the density of states at the Fermi level at 3.6 states/eV/cell.

Number 1: mass density 2.29 g/cm3. Number 2: mass density 6.15 g/cm3.